No. 1
Compound: Ba7B12Ir12
Source: the Alexandria database
Functional: PBEsol
Structure: relaxed

Computed properties:
- energy relative to the elements (eV/atom) = -0.4705

Lattice parameters (Å, degrees): 8.358 9.254 9.254 68.65 72.48 107.52
Atoms (fractional coordinates):
Ir (0.669, 0.669, 0.661)
Ir (0.000, 0.331, 0.331)
Ir (0.764, 0.380, 0.000)
Ir (0.385, 0.620, 0.380)
Ir (0.331, 0.331, 0.339)
Ir (0.236, 0.620, 0.000)
Ir (0.615, 0.380, 0.620)
Ir (0.236, 0.000, 0.380)
Ir (0.669, 0.339, 0.331)
Ir (0.000, 0.669, 0.669)
Ir (0.764, 0.000, 0.620)
Ir (0.331, 0.661, 0.669)
B (0.059, 0.559, 0.881)
B (0.727, 0.454, 0.773)
B (0.273, 0.546, 0.227)
B (0.500, 0.441, 0.441)
B (0.500, 0.559, 0.559)
B (0.727, 0.227, 0.546)
B (0.941, 0.881, 0.559)
B (0.941, 0.441, 0.119)
B (0.500, 0.773, 0.773)
B (0.500, 0.227, 0.227)
B (0.273, 0.773, 0.454)
B (0.059, 0.119, 0.441)
Ba (0.293, 0.304, 0.000)
Ba (0.293, 0.000, 0.696)
Ba (0.707, 0.696, 0.000)
Ba (0.707, 0.000, 0.304)
Ba (0.010, 0.304, 0.696)
Ba (0.990, 0.696, 0.304)
Ba (0.500, 0.000, 0.000)

***

No. 2
Compound: MnRhNO2
Source: the Alexandria database
Functional: PBEsol
Structure: relaxed

Computed properties:
- uncorrected formation energy (eV/atom) = 0.15

Lattice parameters (Å, degrees): 3.589 3.978 3.978 90.00 90.00 90.00
Site moments in Bohr magnetons follow the coordinates.
Atoms (fractional coordinates):
N (0.500, 0.000, 0.000)  -0.02
O (0.000, 0.500, 0.000)  0.04
O (0.000, 0.000, 0.500)  0.04
Mn (0.500, 0.500, 0.500)  4.48
Rh (0.000, 0.000, 0.000)  -0.06

***

No. 3
Compound: ZnCrNi2
Source: the Alexandria database
Functional: PBEsol
Structure: relaxed

Computed properties:
- energy relative to the elements (eV/atom) = 0.0675

Lattice parameters (Å, degrees): 2.503 2.503 8.356 81.38 81.38 60.00
Atoms (fractional coordinates):
Zn (0.502, 0.502, 0.493)
Ni (0.252, 0.252, 0.244)
Ni (0.000, 0.000, 0.000)
Cr (0.746, 0.746, 0.763)

***

Asked for energy across the records above, the calculation gives -7.474, -7.235, -5.967 eV/atom in order.
Asked for total magnetic moment across the records above, the calculation gives 0.970, 4.726, 0.002 μB per cell in order.